Computed, not measured: a relaxed DyBeB4 crystal at the GGA-PBE level of DFT.

Unit cell a=7.234 b=9.282 c=3.371 alpha=90.00 beta=90.00 gamma=90.00
Space group Cmmm (No. 65)
One atom of each set of equivalent atoms:
Dy1 0.000 0.198 0.000 [4 per cell]
Be1 0.175 0.500 0.000 [4 per cell]
B1 0.000 0.410 0.500 [4 per cell]
B2 0.125 0.000 0.500 [4 per cell]
B3 0.222 0.343 0.500 [8 per cell]

Calculated values
**Crystal system**: orthorhombic
**DOS(E_F)**: 1.0 states/eV/f.u.
**Volume**: 226.40 Å³/cell
**Energy of formation from the pure elements**: -0.45 eV/atom
**Total DFT energy (no corrections)**: -150.87 eV per cell